(one)
# LaPr6Hg, relaxed, DFT PBE-GGA
# M_tot in μB/f.u.: 0.0
data_LaPr6Hg
_chemical_formula_sum 'La3 Pr18 Hg3'
_cell_length_a 9.7546
_cell_length_b 9.7546
_cell_length_c 10.1243
_cell_angle_alpha 90.00
_cell_angle_beta 90.00
_cell_angle_gamma 120.00
_space_group_name_H-M_alt 'R -3'
_space_group_IT_number 148
_space_group_name_Hall '-R 3'
loop_
_atom_site_label
_atom_site_type_symbol
_atom_site_fract_x
_atom_site_fract_y
_atom_site_fract_z
La1 La 0.0000 0.0000 0.0000
Pr1 Pr 0.0254 0.7670 0.7111
Hg1 Hg 0.0000 0.0000 0.5000


(two)
# LaPr6Hg, relaxed, DFT PBE-GGA
# M_tot in μB/f.u.: 0.0
data_LaPr6Hg
_chemical_formula_sum 'La2 Pr12 Hg2'
_cell_length_a 5.049
_cell_length_b 5.049
_cell_length_c 21.201
_cell_angle_alpha 90.00
_cell_angle_beta 90.00
_cell_angle_gamma 90.00
_space_group_name_H-M_alt 'I 4/m m m'
_space_group_IT_number 139
_space_group_name_Hall '-I 4 2'
loop_
_atom_site_label
_atom_site_type_symbol
_atom_site_fract_x
_atom_site_fract_y
_atom_site_fract_z
La1 La 0.000 0.000 0.000
Pr1 Pr 0.000 0.000 0.248
Pr2 Pr 0.000 0.500 0.122
Hg1 Hg 0.000 0.000 0.500


Calculated relative energies: (one) 0.034; (two) 0.000, given in eV/atom